Computed, not measured: a geometry-optimized KPmCrF6 structure at the GGA+U level of DFT.

Structure (POSCAR):
```
KPmCrF6
1.0
-3.766 3.807 5.310
3.766 -3.807 5.310
3.766 3.807 -5.310
K Pm Cr F
2 2 2 12
Direct
0.346 0.096 0.250 K
0.654 0.904 0.750 K
0.000 0.500 0.500 Pm
0.500 0.500 0.000 Pm
0.000 0.000 0.500 Cr
0.000 0.500 0.000 Cr
0.065 0.349 0.178 F
0.065 0.887 0.716 F
0.120 0.370 0.750 F
0.329 0.113 0.678 F
0.329 0.651 0.216 F
0.375 0.625 0.750 F
0.625 0.375 0.250 F
0.671 0.349 0.784 F
0.671 0.887 0.322 F
0.880 0.630 0.250 F
0.935 0.113 0.284 F
0.935 0.651 0.822 F
```

## Properties
Final energy: -5.996 eV per atom